Below is a geometry-optimized Pr3TlAu structure, with properties calculated at the PBE level.

Values from the calculation:
**ΔH_f (0 K)**: -33.2 kJ per mole of atoms

a = 17.501 Å, b = 7.136 Å, c = 11.528 Å
α = 90.00°, β = 119.37°, γ = 90.00°
Space group C2/c (No. 15)
Asymmetric unit:
Pr: 0.062 0.197 0.455
Pr: 0.118 0.486 0.769
Pr: 0.192 0.022 0.789
Tl: 0.120 0.266 0.023
Au: 0.000 0.128 0.750
Au: 0.250 0.250 0.500

***

Below is a geometry-optimized Na2UGeS5 structure, with properties calculated at the PBE level.

Values from the calculation:
**Uncorrected formation energy**: -0.9518 eV per atom

a = 4.094 Å, b = 17.042 Å, c = 12.876 Å
α = 90.00°, β = 90.00°, γ = 90.00°
Space group Cmc2_1 (No. 36)
Asymmetric unit:
Na: 0.000 0.095 0.000
Na: 0.000 0.110 0.679
U: 0.000 0.219 0.378
Ge: 0.000 0.436 0.767
S: 0.000 0.055 0.361
S: 0.000 0.283 0.007
S: 0.000 0.299 0.737
S: 0.000 0.363 0.346
S: 0.000 0.494 0.616

***

Below is a geometry-optimized Mg5As structure, with properties calculated at the PBE level.

Values from the calculation:
**ΔH_f (0 K)**: -6.8 kJ per mole of atoms

a = 4.856 Å, b = 3.505 Å, c = 15.315 Å
α = 90.00°, β = 90.00°, γ = 90.00°
Space group Amm2 (No. 38)
Asymmetric unit:
Mg: 0.000 0.000 0.000
Mg: 0.000 0.000 0.320
Mg: 0.500 0.000 0.125
Mg: 0.500 0.000 0.451
Mg: 0.500 0.000 0.788
As: 0.000 0.000 0.669

***

Below is a geometry-optimized TbY2Ga2Pt7 structure, with properties calculated at the PBE level.

Values from the calculation:
**ΔH_f (0 K)**: -95.0 kJ per mole of atoms

a = 5.767 Å, b = 5.709 Å, c = 14.111 Å
α = 90.00°, β = 99.72°, γ = 90.00°
Space group C2/m (No. 12)
Asymmetric unit:
Tb: 0.000 0.000 0.000
Y: 0.133 0.000 0.356
Ga: 0.107 0.500 0.260
Pt: 0.000 0.500 0.000
Pt: 0.151 0.500 0.436
Pt: 0.186 0.250 0.844

***

Number 1: magnetization 0.00 μB per formula unit, electronic total energy -21.70 eV/f.u.. Number 2: magnetization 1.32 μB per formula unit, electronic total energy -47.75 eV/f.u.. Number 3: magnetization 0.00 μB per formula unit, electronic total energy -13.04 eV/f.u.. Number 4: magnetization 0.00 μB per formula unit, electronic total energy -77.71 eV/f.u..